No. 1
An optimized crystal structure of Pr2Ga3Ag6, computed with GGA-PBE.

```
Pr2Ga3Ag6
1.0
4.420 0.000 0.000
0.000 7.844 0.000
0.000 -3.922 6.793
Ga Pr Ag
3 2 6
Cartesian
2.210 -2.398 4.153
2.210 4.796 0.000
2.210 1.524 2.639
0.000 3.922 2.264
0.000 0.000 4.528
2.210 2.814 4.873
2.210 -1.108 1.920
2.210 2.216 0.000
0.000 0.808 1.399
0.000 -3.114 5.393
0.000 6.228 0.000
```

E_tot (eV per formula unit): -38.7
ΔE_f (kJ per mole of atoms): -26.0
DOS at the Fermi energy (states/eV per cell): 4.42

No. 2
An optimized crystal structure of YEr4Au2, computed with GGA-PBE.

```
YEr4Au2
1.0
4.869 0.000 0.000
2.435 4.217 0.000
2.435 1.406 10.150
Au Er Y
2 4 1
Cartesian
4.869 2.811 1.978
4.869 2.811 8.172
2.435 1.406 7.100
2.435 1.406 1.035
7.304 4.217 9.115
7.304 4.217 3.050
4.869 2.811 5.075
```

E_tot (eV per formula unit): -33.2
ΔE_f (kJ per mole of atoms): -26.9
DOS at the Fermi energy (states/eV per cell): 8.08

No. 3
An optimized crystal structure of MnTc2Ru, computed with GGA-PBE.

```
MnTc2Ru
1.0
4.666 -0.004 0.000
-1.573 4.392 0.000
0.000 0.000 2.691
Tc Mn Ru
2 1 1
Cartesian
0.000 0.000 0.000
1.546 2.194 0.000
2.333 -0.002 1.345
-0.786 2.196 1.345
```

E_tot (eV per formula unit): -38.9
ΔE to the lowest computed polymorph (meV per atom): 8
ΔE_f (kJ per mole of atoms): 6.1
DOS at the Fermi energy (states/eV per cell): 3.15

No. 4
An optimized crystal structure of BeHgPd2, computed with GGA-PBE.

```
BeHgPd2
1.0
-2.386 -2.112 0.018
-1.076 -1.211 -2.744
3.536 -6.401 -0.411
Hg Pd Be
1 2 1
Cartesian
0.037 -4.862 -1.568
0.372 -7.649 -2.319
-0.297 -2.075 -0.818
0.000 0.000 0.000
```

E_tot (eV per formula unit): -15.5
ΔE to the lowest computed polymorph (meV per atom): 104
ΔE_f (kJ per mole of atoms): -26.3
DOS at the Fermi energy (states/eV per cell): 0.58

No. 5
An optimized crystal structure of Dy2NiAs, computed with GGA-PBE.

```
Dy2NiAs
1.0
3.825 0.000 0.000
1.913 3.313 0.000
1.913 1.104 8.501
As Dy Ni
1 2 1
Cartesian
3.825 2.208 4.251
1.913 1.104 5.976
5.738 3.313 2.526
0.000 0.000 0.000
```

E_tot (eV per formula unit): -20.1
ΔE_f (kJ per mole of atoms): -10.6
DOS at the Fermi energy (states/eV per cell): 3.34

No. 6
An optimized crystal structure of NpZnSnPd, computed with GGA-PBE.

```
NpZnSnPd
1.0
-0.440 -3.221 -3.602
0.604 -4.731 0.890
-3.814 -2.997 -0.122
Sn Zn Pd Np
1 1 1 1
Cartesian
-0.912 -2.738 -0.708
0.000 0.000 0.000
-1.825 -5.475 -1.417
-2.737 -8.213 -2.125
```

E_tot (eV per formula unit): -24.2
ΔE_f (kJ per mole of atoms): -19.3
DOS at the Fermi energy (states/eV per cell): 5.68

No. 7
An optimized crystal structure of Ca2Ga5Ir, computed with GGA-PBE.

```
Ca2Ga5Ir
1.0
-1.997 -3.152 -5.439
5.922 2.743 0.953
1.698 -2.809 5.721
Ga Ir Ca
5 1 2
Cartesian
4.615 1.200 2.163
4.482 -1.445 2.289
2.741 -1.263 4.279
0.876 -1.770 -1.285
2.255 -0.020 1.975
0.427 -0.004 0.374
1.526 -2.995 1.608
3.638 -0.219 -0.776
```

E_tot (eV per formula unit): -31.1
ΔE_f (kJ per mole of atoms): -37.4
DOS at the Fermi energy (states/eV per cell): 4.32

No. 8
An optimized crystal structure of TaCdRe, computed with GGA-PBE.

```
TaCdRe
1.0
-1.523 -4.066 -1.059
-1.093 -2.888 3.231
-4.289 -1.036 0.714
Cd Ta Re
1 1 1
Cartesian
0.000 0.000 0.000
-5.179 -5.993 2.165
-3.453 -3.995 1.443
```

E_tot (eV per formula unit): -22.3
ΔE to the lowest computed polymorph (meV per atom): 767
ΔE_f (kJ per mole of atoms): 94.3
DOS at the Fermi energy (states/eV per cell): 0.58

No. 9
An optimized crystal structure of Mg3TaHg, computed with GGA-PBE.

```
Mg3TaHg
1.0
-5.310 -1.592 0.494
-0.432 -0.278 -5.542
1.609 -5.326 0.142
Hg Mg Ta
1 3 1
Cartesian
-2.066 -3.598 -2.453
0.805 -2.663 0.071
-2.655 -0.796 0.247
-0.216 -0.139 -2.771
0.000 0.000 0.000
```

E_tot (eV per formula unit): -11.0
ΔE to the lowest computed polymorph (meV per atom): 191
ΔE_f (kJ per mole of atoms): 114.7
DOS at the Fermi energy (states/eV per cell): 2.56

No. 10
An optimized crystal structure of Pm2Pr3NdTe6, computed with GGA-PBE.

```
Pm2Pr3NdTe6
1.0
-2.540 2.496 2.718
-6.979 -5.617 -1.363
5.800 -5.125 6.435
Te Pm Nd Pr
6 2 1 3
Cartesian
-1.994 -6.836 8.108
-3.797 -3.313 3.187
0.078 -4.933 4.603
-0.363 -0.527 3.837
-1.725 -1.409 -0.318
-3.356 -7.718 3.953
-0.813 -3.157 2.140
-2.906 -5.088 5.650
-1.270 1.248 1.359
0.590 -2.282 6.340
-4.760 -1.560 0.678
-4.309 -5.963 1.450
```

E_tot (eV per formula unit): -64.6
Formation energy from raw total energies (eV/atom): -1.427
DOS at the Fermi energy (states/eV per cell): 6.35

No. 11
An optimized crystal structure of Pt4Rh5, computed with GGA-PBE.

```
Pt4Rh5
1.0
-0.243 -1.717 7.508
-5.980 -3.926 2.863
2.550 -4.589 -0.967
Pt Rh
8 10
Cartesian
1.756 -4.553 4.134
-2.043 -6.588 3.776
0.552 -1.753 2.407
0.000 0.000 0.000
-3.233 -3.688 1.611
-1.629 -3.643 5.627
-0.197 -4.827 0.285
1.275 -2.294 -0.483
-4.148 -3.762 6.914
0.472 -2.321 4.891
-0.145 -5.857 5.313
1.836 -3.985 1.650
-2.074 -1.881 3.457
-0.799 -4.175 2.973
-1.254 -2.389 0.664
-2.873 -6.056 6.430
-2.175 -6.126 1.232
-3.527 -4.374 4.091
```

E_tot (eV per formula unit): -59.3
ΔE to the lowest computed polymorph (meV per atom): 208
ΔE_f (kJ per mole of atoms): 17.9
DOS at the Fermi energy (states/eV per cell): 33.27

No. 12
An optimized crystal structure of SmHo2Ta, computed with GGA-PBE.

```
SmHo2Ta
1.0
-2.369 1.362 1.804
-2.469 -1.837 1.117
4.507 -2.447 10.741
Ho Sm Ta
2 1 1
Cartesian
-3.319 -1.043 5.346
2.987 -1.879 8.316
-0.166 -1.461 6.831
0.000 0.000 0.000
```

E_tot (eV per formula unit): -23.3
ΔE_f (kJ per mole of atoms): 58.7
DOS at the Fermi energy (states/eV per cell): 5.40